{
  "formula": "Ca2TaPb",
  "functional": "PBE-GGA",
  "state": "optimized geometry",
  "lattice_angstrom": [[6.077, -1.642, 0.000], [6.077, 1.642, 0.000], [-1.737, 0.000, 5.549]],
  "species": ["Ca", "Ca", "Ta", "Pb"],
  "fractional_positions": [[0.000, 0.000, 0.000], [0.204, 0.204, 0.632], [0.444, 0.444, 0.460], [0.752, 0.752, 0.162]],
  "crystal_system": "monoclinic",
  "e_form_kj_per_mol_fu": 134,
  "magmom_total_mub_per_fu": 0.6
}